[1]
First-principles (PBE) data for a geometry-optimized Pm3MgPa2N6 structure, as listed in the Alexandria database.

Properties
Energy relative to the elements, uncorrected   -1.43 eV per atom
ρ   9.04 g/cm³
DOS at the Fermi energy   5.3 states/eV/f.u.

Geometry as CIF:
```
data_Pm3MgPa2N6
_chemical_formula_sum 'Pm6 Mg2 Pa4 N12'
_symmetry_space_group_name_H-M 'C 1 2/m 1'
_symmetry_Int_Tables_number 12
_symmetry_space_group_name_Hall '-C 2y'
_cell_length_a 6.052
_cell_length_b 10.482
_cell_length_c 6.159
_cell_angle_alpha 90.00
_cell_angle_beta 109.09
_cell_angle_gamma 90.00
loop_
_atom_site_label
_atom_site_type_symbol
_atom_site_fract_x
_atom_site_fract_y
_atom_site_fract_z
Pm1 Pm 0.000 0.000 0.000
Pm2 Pm 0.000 0.336 0.000
Mg1 Mg 0.000 0.500 0.500
Pa1 Pa 0.000 0.167 0.500
N1 N 0.230 0.000 0.722
N2 N 0.247 0.328 0.722
```


[2]
First-principles (PBE) data for a geometry-optimized LaAu5 structure, as listed in the Alexandria database.

Properties
Calculated formation energy   -0.3328 eV/atom
ρ   14.76 g/cm³
DOS at the Fermi energy   3.5 states/eV/f.u.

Geometry as CIF:
```
data_LaAu5
_chemical_formula_sum 'La1 Au5'
_symmetry_space_group_name_H-M 'P 4/m m m'
_symmetry_Int_Tables_number 123
_symmetry_space_group_name_Hall '-P 4 2'
_cell_length_a 3.646
_cell_length_b 3.646
_cell_length_c 9.507
_cell_angle_alpha 90.00
_cell_angle_beta 90.00
_cell_angle_gamma 90.00
loop_
_atom_site_label
_atom_site_type_symbol
_atom_site_fract_x
_atom_site_fract_y
_atom_site_fract_z
La1 La 0.000 0.000 0.000
Au1 Au 0.000 0.000 0.348
Au2 Au 0.500 0.500 0.197
Au3 Au 0.500 0.500 0.500
```


[3]
First-principles (PBE) data for a geometry-optimized AcTlSnBi structure, as listed in the Alexandria database.

Properties
Calculated formation energy   -0.4797 eV/atom
ρ   9.92 g/cm³
DOS at the Fermi energy   1.8 states/eV/f.u.

Geometry as CIF:
```
data_AcTlSnBi
_chemical_formula_sum 'Ac1 Tl1 Sn1 Bi1'
_symmetry_space_group_name_H-M 'P m m m'
_symmetry_Int_Tables_number 47
_symmetry_space_group_name_Hall '-P 2 2'
_cell_length_a 4.991
_cell_length_b 5.032
_cell_length_c 5.057
_cell_angle_alpha 90.00
_cell_angle_beta 90.00
_cell_angle_gamma 90.00
loop_
_atom_site_label
_atom_site_type_symbol
_atom_site_fract_x
_atom_site_fract_y
_atom_site_fract_z
Ac1 Ac 0.000 0.000 0.000
Tl1 Tl 0.000 0.500 0.500
Sn1 Sn 0.500 0.000 0.500
Bi1 Bi 0.500 0.500 0.000
```


[4]
First-principles (PBE) data for a geometry-optimized TaMnSi2 structure, as listed in the Alexandria database.

Properties
Energy relative to the elements, uncorrected   0.05 eV per atom
ρ   8.48 g/cm³
DOS at the Fermi energy   3.1 states/eV/f.u.

Geometry as CIF:
```
data_TaMnSi2
_chemical_formula_sum 'Ta3 Mn3 Si6'
_symmetry_space_group_name_H-M 'R 3 m'
_symmetry_Int_Tables_number 160
_symmetry_space_group_name_Hall 'R 3 -2"'
_cell_length_a 2.8789
_cell_length_b 2.8789
_cell_length_c 23.9024
_cell_angle_alpha 90.00
_cell_angle_beta 90.00
_cell_angle_gamma 120.00
loop_
_atom_site_label
_atom_site_type_symbol
_atom_site_fract_x
_atom_site_fract_y
_atom_site_fract_z
Ta1 Ta 0.0000 0.0000 0.0000
Mn1 Mn 0.0000 0.0000 0.7529
Si1 Si 0.0000 0.0000 0.2452
Si2 Si 0.0000 0.0000 0.4905
```


Calculated uncorrected energy (eV/f.u.), listed in the same order as above: -101.961 -23.311 -16.277 -31.683